[1]
Crystalline CaSi2GeAu8 at its relaxed geometry. Source: Alexandria, functional PBE.

Its uncorrected formation energy is -160 meV/atom. As for the density of states at the Fermi level: 3.860 states/eV/cell. The uncorrected energy is -45.61 eV/cell.

```
data_CaSi2GeAu8
_cell_length_a 5.5446
_cell_length_b 5.5446
_cell_length_c 9.6656
_cell_angle_alpha 90.00
_cell_angle_beta 90.00
_cell_angle_gamma 120.00
_symmetry_space_group_name_H-M 'P -3'
_symmetry_Int_Tables_number 147
loop_
_symmetry_equiv_pos_as_xyz
'x,y,z'
'-x,-y,-z'
'-y,x-y,z'
'y,-x+y,-z'
'-x+y,-x,z'
'x-y,x,-z'
loop_
_atom_site_label
_atom_site_type_symbol
_atom_site_fract_x
_atom_site_fract_y
_atom_site_fract_z
Ca1 Ca 0.0000 0.0000 0.0000
Si1 Si 0.3333 0.6667 0.7879
Ge1 Ge 0.0000 0.0000 0.5000
Au1 Au 0.0859 0.7454 0.2907
Au2 Au 0.3333 0.6667 0.0352
```

***

[2]
Crystalline Rb2PuAgTe4 at its relaxed geometry. Source: Alexandria, functional PBE.

Its uncorrected formation energy is -573 meV/atom. As for the density of states at the Fermi level: 30.618 states/eV/cell. The uncorrected energy is -72.55 eV/cell.

```
data_Rb2PuAgTe4
_cell_length_a 8.7819
_cell_length_b 8.7819
_cell_length_c 7.7484
_cell_angle_alpha 90.00
_cell_angle_beta 90.00
_cell_angle_gamma 90.00
_symmetry_space_group_name_H-M 'I -4 2 m'
_symmetry_Int_Tables_number 121
_symmetry_space_group_name_Hall 'I -4 2'
loop_
_atom_site_label
_atom_site_type_symbol
_atom_site_fract_x
_atom_site_fract_y
_atom_site_fract_z
Rb1 Rb 0.0000 0.5000 0.0000
Pu1 Pu 0.0000 0.0000 0.0000
Ag1 Ag 0.0000 0.0000 0.5000
Te1 Te 0.1744 0.1744 0.2640
```

***

[3]
Crystalline Nd6Ga5Cu at its relaxed geometry. Source: Alexandria, functional PBE.

The formation energy is -0.47 eV/atom. As for the density of states at the Fermi level: 23.865 states/eV/cell. The uncorrected energy is -107.05 eV/cell.

```
data_Nd6Ga5Cu
_cell_length_a 5.2084
_cell_length_b 15.6456
_cell_length_c 7.4027
_cell_angle_alpha 90.00
_cell_angle_beta 90.00
_cell_angle_gamma 90.00
_symmetry_space_group_name_H-M 'C m m m'
_symmetry_Int_Tables_number 65
_symmetry_space_group_name_Hall '-C 2 2'
loop_
_atom_site_label
_atom_site_type_symbol
_atom_site_fract_x
_atom_site_fract_y
_atom_site_fract_z
Nd1 Nd 0.0000 0.0000 0.2453
Nd2 Nd 0.0000 0.3354 0.2473
Ga1 Ga 0.0000 0.1650 0.0000
Ga2 Ga 0.0000 0.1669 0.5000
Ga3 Ga 0.0000 0.5000 0.5000
Cu1 Cu 0.0000 0.5000 0.0000
```

***

[4]
Crystalline YAlSe3 at its relaxed geometry. Source: Alexandria, functional PBE.

Its uncorrected formation energy is -1105 meV/atom. The energy above the most stable polymorph in this dataset is 0.2656 eV per atom. As for the density of states at the Fermi level: 0.202 states/eV/cell. The uncorrected energy is -26.19 eV/cell.

```
data_YAlSe3
_cell_length_a 4.6647
_cell_length_b 4.6647
_cell_length_c 6.2125
_cell_angle_alpha 90.00
_cell_angle_beta 90.00
_cell_angle_gamma 90.00
_symmetry_space_group_name_H-M 'P 4 m m'
_symmetry_Int_Tables_number 99
loop_
_symmetry_equiv_pos_as_xyz
'x,y,z'
'-y,x,z'
'-x,-y,z'
'y,-x,z'
'-x,y,z'
'y,x,z'
'x,-y,z'
'-y,-x,z'
loop_
_atom_site_label
_atom_site_type_symbol
_atom_site_fract_x
_atom_site_fract_y
_atom_site_fract_z
Y1 Y 0.0000 0.0000 0.0000
Al1 Al 0.5000 0.5000 0.5755
Se1 Se 0.0000 0.5000 0.7324
Se2 Se 0.5000 0.5000 0.1938
```

***

[5]
Crystalline Mg2NbSbRh at its relaxed geometry. Source: Alexandria, functional PBE.

Its uncorrected formation energy is 414 meV/atom. As for the density of states at the Fermi level: 3.550 states/eV/cell. The uncorrected energy is -22.66 eV/cell.

```
data_Mg2NbSbRh
_cell_length_a 4.7966
_cell_length_b 4.7966
_cell_length_c 4.9873
_cell_angle_alpha 90.00
_cell_angle_beta 90.00
_cell_angle_gamma 90.00
_symmetry_space_group_name_H-M 'P 4/m m m'
_symmetry_Int_Tables_number 123
_symmetry_space_group_name_Hall '-P 4 2'
loop_
_atom_site_label
_atom_site_type_symbol
_atom_site_fract_x
_atom_site_fract_y
_atom_site_fract_z
Mg1 Mg 0.0000 0.5000 0.0000
Nb1 Nb 0.0000 0.0000 0.5000
Sb1 Sb 0.5000 0.5000 0.5000
Rh1 Rh 0.5000 0.5000 0.0000
```

***

[6]
Crystalline K2HgHF6 at its relaxed geometry. Source: Alexandria, functional PBE.

As for the density of states at the Fermi level: 2.022 states/eV/cell. The uncorrected energy is -36.29 eV/cell.

```
data_K2HgHF6
_cell_length_a 5.0248
_cell_length_b 6.2926
_cell_length_c 6.5531
_cell_angle_alpha 95.96
_cell_angle_beta 110.73
_cell_angle_gamma 112.31
_symmetry_space_group_name_H-M 'P 1'
_symmetry_Int_Tables_number 1
loop_
_symmetry_equiv_pos_as_xyz
'x,y,z'
loop_
_atom_site_label
_atom_site_type_symbol
_atom_site_fract_x
_atom_site_fract_y
_atom_site_fract_z
K1 K 0.0000 0.0000 0.0000
K2 K 0.0711 0.6434 0.4803
Hg1 Hg 0.5383 0.3139 0.7271
H1 H 0.6913 0.0353 0.3895
F1 F 0.0914 0.3441 0.7644
F2 F 0.4429 0.0148 0.8542
F3 F 0.4481 0.0796 0.4078
F4 F 0.6118 0.6098 0.5952
F5 F 0.8213 0.5598 0.0587
F6 F 0.8473 0.9933 0.3547
```

***

[7]
Crystalline B2AsPt6 at its relaxed geometry. Source: Alexandria, functional PBE.

The formation energy is -0.13 eV/atom. As for the density of states at the Fermi level: 17.732 states/eV/cell. The uncorrected energy is -221.85 eV/cell.

```
data_B2AsPt6
_cell_length_a 10.6791
_cell_length_b 9.7684
_cell_length_c 5.4480
_cell_angle_alpha 90.00
_cell_angle_beta 109.02
_cell_angle_gamma 90.00
_symmetry_space_group_name_H-M 'C 1 2/c 1'
_symmetry_Int_Tables_number 15
loop_
_symmetry_equiv_pos_as_xyz
'x,y,z'
'-x,-y,-z'
'-x,y,-z+1/2'
'x,-y,z+1/2'
'x+1/2,y+1/2,z'
'-x+1/2,-y+1/2,-z'
'-x+1/2,y+1/2,-z+1/2'
'x+1/2,-y+1/2,z+1/2'
loop_
_atom_site_label
_atom_site_type_symbol
_atom_site_fract_x
_atom_site_fract_y
_atom_site_fract_z
B1 B 0.2216 0.1418 0.2266
As1 As 0.0000 0.4461 0.2500
Pt1 Pt 0.1216 0.2417 0.4836
Pt2 Pt 0.1239 0.3193 0.9756
Pt3 Pt 0.1396 0.0323 0.8518
```

***

[8]
Crystalline ZrSc2PaP4 at its relaxed geometry. Source: Alexandria, functional PBE.

The formation energy is -1.41 eV/atom. As for the density of states at the Fermi level: 4.761 states/eV/cell. The uncorrected energy is -63.66 eV/cell.

```
data_ZrSc2PaP4
_cell_length_a 6.5769
_cell_length_b 3.8182
_cell_length_c 6.6033
_cell_angle_alpha 90.00
_cell_angle_beta 109.43
_cell_angle_gamma 90.00
_symmetry_space_group_name_H-M 'P 1 2/m 1'
_symmetry_Int_Tables_number 10
loop_
_symmetry_equiv_pos_as_xyz
'x,y,z'
'-x,-y,-z'
'-x,y,-z'
'x,-y,z'
loop_
_atom_site_label
_atom_site_type_symbol
_atom_site_fract_x
_atom_site_fract_y
_atom_site_fract_z
Zr1 Zr 0.0000 0.0000 0.0000
Sc1 Sc 0.5000 0.0000 0.5000
Sc2 Sc 0.5000 0.5000 0.0000
Pa1 Pa 0.0000 0.5000 0.5000
P1 P 0.2543 0.5000 0.2469
P2 P 0.2607 0.0000 0.7602
```

***

[9]
Crystalline Ba3MnAl at its relaxed geometry. Source: Alexandria, functional PBE.

The formation energy is 0.63 eV/atom. The energy above the most stable polymorph in this dataset is 0.0000 eV per atom. As for the density of states at the Fermi level: 16.941 states/eV/cell. The uncorrected energy is -15.51 eV/cell.

```
data_Ba3MnAl
_cell_length_a 6.5131
_cell_length_b 6.5131
_cell_length_c 6.5131
_cell_angle_alpha 90.00
_cell_angle_beta 90.00
_cell_angle_gamma 90.00
_symmetry_space_group_name_H-M 'P m -3 m'
_symmetry_Int_Tables_number 221
_symmetry_space_group_name_Hall '-P 4 2 3'
loop_
_atom_site_label
_atom_site_type_symbol
_atom_site_fract_x
_atom_site_fract_y
_atom_site_fract_z
Ba1 Ba 0.0000 0.0000 0.5000
Mn1 Mn 0.5000 0.5000 0.5000
Al1 Al 0.0000 0.0000 0.0000
```

***

[10]
Crystalline Sc3Si5 at its relaxed geometry. Source: Alexandria, functional PBE.

Its uncorrected formation energy is -368 meV/atom. The energy above the most stable polymorph in this dataset is 0.2471 eV per atom. As for the density of states at the Fermi level: 6.493 states/eV/cell. The uncorrected energy is -98.11 eV/cell.

```
data_Sc3Si5
_cell_length_a 8.1301
_cell_length_b 8.1301
_cell_length_c 5.0096
_cell_angle_alpha 90.00
_cell_angle_beta 90.00
_cell_angle_gamma 120.00
_symmetry_space_group_name_H-M 'P 63/m c m'
_symmetry_Int_Tables_number 193
_symmetry_space_group_name_Hall '-P 6c 2'
loop_
_atom_site_label
_atom_site_type_symbol
_atom_site_fract_x
_atom_site_fract_y
_atom_site_fract_z
Sc1 Sc 0.0000 0.3791 0.2500
Si1 Si 0.0000 0.1780 0.7500
Si2 Si 0.3333 0.6667 0.0000
```